Compound: In3ReB
Source: the Alexandria database
Functional: PBE-GGA
Structure: optimized geometry

Crystal system: cubic
D(E_F) in states/eV/cell: 4.954
Calculated density in g cm⁻³: 8.975
DFT total energy in eV per atom: -4.15
Energy above the most stable polymorph in this dataset in meV/atom: 0

abc: 4.644 4.644 4.644
angles: 90.00 90.00 90.00
Space group Pm-3m (No. 221)
Symmetry-distinct sites (fractional):
1 In 0.000 0.000 0.500 (multiplicity 3)
2 Re 0.500 0.500 0.500 (multiplicity 1)
3 B 0.000 0.000 0.000 (multiplicity 1)

Compound: InRe3B
Source: the Alexandria database
Functional: PBE-GGA
Structure: optimized geometry

Crystal system: cubic
D(E_F) in states/eV/cell: 8.004
Calculated density in g cm⁻³: 9.820
DFT total energy in eV per atom: -5.36
Energy above the most stable polymorph in this dataset in meV/atom: 3547

abc: 4.873 4.873 4.873
angles: 90.00 90.00 90.00
Space group Pm-3m (No. 221)
Symmetry-distinct sites (fractional):
1 In 0.000 0.000 0.000 (multiplicity 1)
2 Re 0.000 0.000 0.500 (multiplicity 3)
3 B 0.500 0.500 0.500 (multiplicity 1)